(1)
{
  "formula": "SmPuSc3",
  "functional": "PBE",
  "state": "relaxed",
  "cell": [[6.402, 0.000, 0.000], [3.201, 5.544, 0.000], [3.201, 1.848, 7.805]],
  "species": ["Sc", "Sc", "Sc", "Sc", "Sc", "Sc", "Sm", "Sm", "Pu", "Pu"],
  "fractional_positions": [[0.890, 0.382, 0.347], [0.618, 0.110, 0.653], [0.110, 0.618, 0.653], [0.618, 0.618, 0.653], [0.382, 0.382, 0.347], [0.382, 0.890, 0.347], [0.925, 0.925, 0.225], [0.075, 0.075, 0.775], [0.334, 0.334, 0.999], [0.666, 0.666, 0.001]],
  "space_group": "No. 166",
  "e_form_ev_per_atom": 0.255,
  "m_tot_mub_per_fu": 7.4
}

(2)
{
  "formula": "CoSbTeI2",
  "functional": "PBE",
  "state": "relaxed",
  "cell": [[-3.368, -1.786, 3.510], [3.145, -3.998, 0.984], [2.338, 2.734, 3.634]],
  "species": ["I", "I", "Te", "Co", "Sb"],
  "fractional_positions": [[0.000, 0.500, 0.000], [0.500, 0.000, 0.000], [0.500, 0.500, 0.500], [0.000, 0.000, 0.000], [0.000, 0.000, 0.500]],
  "relative_energy_mev_per_atom": 11.6,
  "space_group": "No. 123",
  "m_tot_mub_per_fu": 0.5,
  "raw_formation_energy_ev_per_atom": 0.382
}

(3)
{
  "formula": "NbAsP2O",
  "functional": "PBE",
  "state": "relaxed",
  "cell": [[-1.368, -2.153, -4.016], [0.172, -4.215, 2.200], [-3.446, 0.369, 0.976]],
  "species": ["Nb", "As", "P", "P", "O"],
  "fractional_positions": [[0.500, 0.500, 0.500], [0.000, 0.000, 0.000], [0.000, 0.500, 0.000], [0.500, 0.000, 0.000], [0.000, 0.000, 0.500]],
  "relative_energy_mev_per_atom": 571.0,
  "space_group": "No. 123",
  "m_tot_mub_per_fu": 1.5,
  "raw_formation_energy_ev_per_atom": 0.369
}

(4)
{
  "formula": "CsPPbSe4",
  "functional": "PBE",
  "state": "relaxed",
  "cell": [[6.996, 0.000, 0.000], [0.000, 7.149, 0.000], [0.000, 0.000, 18.740]],
  "species": ["Se", "Se", "Se", "Se", "Se", "Se", "Se", "Se", "Se", "Se", "Se", "Se", "Se", "Se", "Se", "Se", "P", "P", "P", "P", "Pb", "Pb", "Pb", "Pb", "Cs", "Cs", "Cs", "Cs"],
  "fractional_positions": [[0.591, 0.001, 0.609], [0.409, 0.999, 0.391], [0.360, 0.750, 0.026], [0.909, 0.001, 0.109], [0.091, 0.999, 0.891], [0.471, 0.250, 0.160], [0.529, 0.750, 0.840], [0.909, 0.499, 0.109], [0.140, 0.750, 0.526], [0.860, 0.250, 0.474], [0.591, 0.499, 0.609], [0.409, 0.501, 0.391], [0.640, 0.250, 0.974], [0.029, 0.250, 0.660], [0.971, 0.750, 0.340], [0.091, 0.501, 0.891], [0.275, 0.750, 0.912], [0.225, 0.750, 0.412], [0.775, 0.250, 0.588], [0.725, 0.250, 0.088], [0.778, 0.750, 0.978], [0.278, 0.250, 0.522], [0.222, 0.250, 0.022], [0.722, 0.750, 0.478], [0.982, 0.750, 0.715], [0.482, 0.250, 0.785], [0.018, 0.250, 0.285], [0.518, 0.750, 0.215]],
  "space_group": "No. 62",
  "m_tot_mub_per_fu": 0.0,
  "raw_formation_energy_ev_per_atom": -0.580
}

(5)
{
  "formula": "LiTeBr",
  "functional": "PBE",
  "state": "relaxed",
  "cell": [[-3.312, -0.658, -0.412], [1.794, -1.700, 2.338], [-1.839, 5.753, 5.595]],
  "species": ["Br", "Te", "Li"],
  "fractional_positions": [[0.000, 0.000, 0.109], [0.333, 0.667, 0.598], [0.667, 0.333, 0.293]],
  "relative_energy_mev_per_atom": 371.2,
  "space_group": "No. 156",
  "m_tot_mub_per_fu": 0.0,
  "raw_formation_energy_ev_per_atom": -0.577
}

(6)
{
  "formula": "BaYMo2",
  "functional": "PBE",
  "state": "relaxed",
  "cell": [[6.601, 0.014, -0.066], [5.611, 3.477, -0.066], [2.128, 0.608, 4.753]],
  "species": ["Mo", "Mo", "Ba", "Y"],
  "fractional_positions": [[0.040, 0.040, 0.960], [0.680, 0.680, 0.820], [0.278, 0.278, 0.222], [0.503, 0.503, 0.497]],
  "relative_energy_mev_per_atom": 178.9,
  "space_group": "No. 44",
  "e_form_ev_per_atom": 0.613,
  "m_tot_mub_per_fu": 0.0
}

What did the fifth record say?
{
  "formula": "LiTeBr",
  "functional": "PBE",
  "state": "relaxed",
  "cell": [[-3.312, -0.658, -0.412], [1.794, -1.700, 2.338], [-1.839, 5.753, 5.595]],
  "species": ["Br", "Te", "Li"],
  "fractional_positions": [[0.000, 0.000, 0.109], [0.333, 0.667, 0.598], [0.667, 0.333, 0.293]],
  "relative_energy_mev_per_atom": 371.2,
  "space_group": "No. 156",
  "m_tot_mub_per_fu": 0.0,
  "raw_formation_energy_ev_per_atom": -0.577
}